{
  "formula": "CaNiH2F8",
  "functional": "PBE+U",
  "state": "relaxed",
  "space_group": "No. 2",
  "density_g_cm3": 2.76,
  "volume_a3_per_cell": 151.81,
  "energy_ev_per_atom": -4.232,
  "lattice": [[-3.8638, 0.9412, -2.9918], [-2.6375, -4.1844, -0.5394], [-4.0799, 1.3685, 4.8643]],
  "species": ["H", "F", "F", "F", "Ca", "F", "F", "Ni", "H", "F", "F", "F"],
  "fractional_positions": [[0.2703, 0.2692, 0.7379], [0.7747, 0.2001, 0.8003], [0.7196, 0.7210, 0.4201], [0.2253, 0.7999, 0.1997], [0.0000, 0.0000, 0.5000], [0.8007, 0.2258, 0.2006], [0.1993, 0.7742, 0.7994], [0.0000, 0.0000, 0.0000], [0.7297, 0.7308, 0.2621], [0.2804, 0.2790, 0.5799], [0.2237, 0.2225, 0.9485], [0.7763, 0.7775, 0.0515]]
}